The following is a PBE calculation of a relaxed structure of TaGa2, from OQMD.

Computed properties:
- Total energy: -285.28 eV per cell
- V: 952.4 Å³ per cell

```
data_TaGa2
_chemical_formula_sum 'Ta16 Ga32'
_cell_length_a 5.457
_cell_length_b 9.432
_cell_length_c 18.505
_cell_angle_alpha 90.00
_cell_angle_beta 90.00
_cell_angle_gamma 90.00
_space_group_name_H-M_alt 'F d d d'
_space_group_IT_number 70
loop_
_space_group_symop_operation_xyz
'x,y,z'
'-x,-y,-z'
'-x+1/4,-y+1/4,z'
'x+1/4,y+1/4,-z'
'x,-y+1/4,-z+1/4'
'-x,y+1/4,z+1/4'
'-x+1/4,y,-z+1/4'
'x+1/4,-y,z+1/4'
'x,y+1/2,z+1/2'
'-x,-y+1/2,-z+1/2'
'-x+1/4,-y+3/4,z+1/2'
'x+1/4,y+3/4,-z+1/2'
'x,-y+3/4,-z+3/4'
'-x,y+3/4,z+3/4'
'-x+1/4,y+1/2,-z+3/4'
'x+1/4,-y+1/2,z+3/4'
'x+1/2,y,z+1/2'
'-x+1/2,-y,-z+1/2'
'-x+3/4,-y+1/4,z+1/2'
'x+3/4,y+1/4,-z+1/2'
'x+1/2,-y+1/4,-z+3/4'
'-x+1/2,y+1/4,z+3/4'
'-x+3/4,y,-z+3/4'
'x+3/4,-y,z+3/4'
'x+1/2,y+1/2,z'
'-x+1/2,-y+1/2,-z'
'-x+3/4,-y+3/4,z'
'x+3/4,y+3/4,-z'
'x+1/2,-y+3/4,-z+1/4'
'-x+1/2,y+3/4,z+1/4'
'-x+3/4,y+1/2,-z+1/4'
'x+3/4,-y+1/2,z+1/4'
loop_
_atom_site_label
_atom_site_type_symbol
_atom_site_fract_x
_atom_site_fract_y
_atom_site_fract_z
Ta1 Ta 0.125 0.125 0.254
Ga1 Ga 0.125 0.125 0.517
Ga2 Ga 0.125 0.286 0.125
```